1.
## ZrCo2As (PBE)

Data for crystalline ZrCo2As at its relaxed geometry.

Values from the calculation:
Total magnetization ... 0.0 μB/cell

Lattice parameters (Å, degrees): 3.410 4.016 8.404 90.00 90.00 90.00
Space group Imm2 (No. 44)
Symmetry-distinct sites (fractional):
Zr: 0.000 0.000 0.000 x2
Co: 0.000 0.000 0.469 x2
Co: 0.000 0.500 0.239 x2
As: 0.000 0.500 0.763 x2

2.
## Tb4Nd8Dy3 (PBE)

Data for crystalline Tb4Nd8Dy3 at its relaxed geometry.

Values from the calculation:
Total magnetization ... 0.0 μB/cell

Lattice parameters (Å, degrees): 13.872 12.215 6.913 90.00 118.54 90.00
Space group C2/m (No. 12)
Symmetry-distinct sites (fractional):
Tb: 0.000 0.000 0.000 x2
Tb: 0.000 0.000 0.500 x2
Tb: 0.250 0.250 0.000 x4
Nd: 0.000 0.247 0.500 x4
Nd: 0.000 0.296 0.000 x4
Nd: 0.203 0.500 0.180 x4
Nd: 0.246 0.000 0.280 x4
Dy: 0.000 0.500 0.500 x2
Dy: 0.250 0.250 0.500 x4

no.,D(E_F) (states/eV/cell),electronic total energy (eV per atom)
1,8.479,-7.11
2,46.772,-4.37